Entry 1:
# K2SiAu SCAN single point on PBEsol structure
data_K2SiAu
_chemical_formula_sum 'K4 Si2 Au2'
_cell_length_a 4.5438
_cell_length_b 5.8727
_cell_length_c 9.6632
_cell_angle_alpha 90.00
_cell_angle_beta 90.00
_cell_angle_gamma 90.00
_symmetry_space_group_name_H-M 'I m m 2'
_symmetry_Int_Tables_number 44
_symmetry_space_group_name_Hall 'I 2 -2'
loop_
_atom_site_label
_atom_site_type_symbol
_atom_site_fract_x
_atom_site_fract_y
_atom_site_fract_z
K1 K 0.0000 0.0000 0.0000
K2 K 0.0000 0.5000 0.1799
Si1 Si 0.0000 0.5000 0.8151
Au1 Au 0.0000 0.0000 0.3570
# - formation energy (no corrections) (eV per atom) = -0.2406
# - density of states at the Fermi level (states/eV per cell) = 2.8
# - spin magnetization (μB per formula unit) = 0.0
# - E_tot (eV/atom) = -24.20

---

Entry 2:
# LaSiPt2I SCAN single point on PBEsol structure
data_LaSiPt2I
_chemical_formula_sum 'La1 Si1 Pt2 I1'
_cell_length_a 5.1032
_cell_length_b 5.1032
_cell_length_c 5.8542
_cell_angle_alpha 90.00
_cell_angle_beta 90.00
_cell_angle_gamma 90.00
_symmetry_space_group_name_H-M 'P 4/m m m'
_symmetry_Int_Tables_number 123
_symmetry_space_group_name_Hall '-P 4 2'
loop_
_atom_site_label
_atom_site_type_symbol
_atom_site_fract_x
_atom_site_fract_y
_atom_site_fract_z
La1 La 0.0000 0.0000 0.0000
Si1 Si 0.0000 0.0000 0.5000
Pt1 Pt 0.0000 0.5000 0.0000
I1 I 0.5000 0.5000 0.5000
# - formation energy (no corrections) (eV per atom) = 1.0783
# - density of states at the Fermi level (states/eV per cell) = 4.6
# - spin magnetization (μB per formula unit) = 0.0
# - E_tot (eV/atom) = -44.97

---

Entry 3:
# CdSiSb SCAN single point on PBEsol structure
data_CdSiSb
_chemical_formula_sum 'Cd4 Si4 Sb4'
_cell_length_a 6.6250
_cell_length_b 6.6250
_cell_length_c 6.6250
_cell_angle_alpha 90.00
_cell_angle_beta 90.00
_cell_angle_gamma 90.00
_symmetry_space_group_name_H-M 'F -4 3 m'
_symmetry_Int_Tables_number 216
_symmetry_space_group_name_Hall 'F -4 2 3'
loop_
_atom_site_label
_atom_site_type_symbol
_atom_site_fract_x
_atom_site_fract_y
_atom_site_fract_z
Cd1 Cd 0.0000 0.0000 0.0000
Si1 Si 0.2500 0.2500 0.2500
Sb1 Sb 0.0000 0.0000 0.5000
# - formation energy (no corrections) (eV per atom) = 0.4593
# - density of states at the Fermi level (states/eV per cell) = 7.9
# - spin magnetization (μB per formula unit) = 0.0
# - E_tot (eV/atom) = -25.44

---

Entry 4:
# LiMn2OF3 SCAN single point on PBEsol structure
data_LiMn2OF3
_chemical_formula_sum 'Li4 Mn8 O4 F12'
_cell_length_a 6.1504
_cell_length_b 6.1504
_cell_length_c 8.7601
_cell_angle_alpha 90.00
_cell_angle_beta 90.00
_cell_angle_gamma 90.00
_symmetry_space_group_name_H-M 'P 43'
_symmetry_Int_Tables_number 78
_symmetry_space_group_name_Hall 'P 4cw'
loop_
_atom_site_label
_atom_site_type_symbol
_atom_site_fract_x
_atom_site_fract_y
_atom_site_fract_z
Li1 Li 0.0105 0.2438 0.0000
Mn1 Mn 0.2427 0.7219 0.8863
Mn2 Mn 0.2462 0.5109 0.2365
O1 O 0.2468 0.4640 0.0098
F1 F 0.9995 0.2365 0.7643
F2 F 0.0194 0.2390 0.2454
F3 F 0.2314 0.5104 0.4956
# - formation energy (no corrections) (eV per atom) = -2.5955
# - spin magnetization (μB per formula unit) = 10.0
# - E_tot (eV/atom) = -10.56

---

Entry 5:
# ZrCNF2 SCAN single point on PBEsol structure
data_ZrCNF2
_chemical_formula_sum 'Zr1 C1 N1 F2'
_cell_length_a 4.0649
_cell_length_b 4.0649
_cell_length_c 4.2360
_cell_angle_alpha 90.00
_cell_angle_beta 90.00
_cell_angle_gamma 90.00
_symmetry_space_group_name_H-M 'P 4/m m m'
_symmetry_Int_Tables_number 123
_symmetry_space_group_name_Hall '-P 4 2'
loop_
_atom_site_label
_atom_site_type_symbol
_atom_site_fract_x
_atom_site_fract_y
_atom_site_fract_z
Zr1 Zr 0.0000 0.0000 0.0000
C1 C 0.5000 0.5000 0.5000
N1 N 0.0000 0.0000 0.5000
F1 F 0.0000 0.5000 0.0000
# - formation energy (no corrections) (eV per atom) = -0.5976
# - density of states at the Fermi level (states/eV per cell) = 1.1
# - spin magnetization (μB per formula unit) = 1.0
# - E_tot (eV/atom) = -12.03

---

Entry 6:
# TcAsBr3 SCAN single point on PBEsol structure
data_TcAsBr3
_chemical_formula_sum 'Tc1 As1 Br3'
_cell_length_a 5.2588
_cell_length_b 5.2588
_cell_length_c 5.2588
_cell_angle_alpha 90.00
_cell_angle_beta 90.00
_cell_angle_gamma 90.00
_symmetry_space_group_name_H-M 'P m -3 m'
_symmetry_Int_Tables_number 221
_symmetry_space_group_name_Hall '-P 4 2 3'
loop_
_atom_site_label
_atom_site_type_symbol
_atom_site_fract_x
_atom_site_fract_y
_atom_site_fract_z
Tc1 Tc 0.0000 0.0000 0.0000
As1 As 0.5000 0.5000 0.5000
Br1 Br 0.0000 0.5000 0.5000
# - formation energy (no corrections) (eV per atom) = 0.6572
# - density of states at the Fermi level (states/eV per cell) = 3.0
# - spin magnetization (μB per formula unit) = 5.8
# - E_tot (eV/atom) = -22.07